No. 1
ScPaCd, optimized geometry, DFT GGA-PBE; final energy = -0.1673 Ha/atom; crystal system = cubic; formation enthalpy at 0 K = 1021 meV/atom; mass density = 7.31 g/cm3
1.0
7.066 0.000 0.000
0.000 7.066 0.000
0.000 0.000 7.066
Sc Pa Cd
4 4 4
Direct
0.000 0.000 0.000
0.000 0.500 0.500
0.500 0.000 0.500
0.500 0.500 0.000
0.250 0.250 0.750
0.250 0.750 0.250
0.750 0.250 0.250
0.750 0.750 0.750
0.000 0.000 0.500
0.000 0.500 0.000
0.500 0.000 0.000
0.500 0.500 0.500



No. 2
PaCdSi, optimized geometry, DFT GGA-PBE; final energy = -0.1763 Ha/atom; crystal system = cubic; mass density = 7.72 g/cm3
1.0
6.837 0.000 0.000
0.000 6.837 0.000
0.000 0.000 6.837
Pa Cd Si
4 4 4
Direct
0.000 0.000 0.000
0.000 0.500 0.500
0.500 0.000 0.500
0.500 0.500 0.000
0.250 0.250 0.750
0.250 0.750 0.250
0.750 0.250 0.250
0.750 0.750 0.750
0.250 0.250 0.250
0.250 0.750 0.750
0.750 0.250 0.750
0.750 0.750 0.250



No. 3
PaCdSi, optimized geometry, DFT GGA-PBE; final energy = -0.1876 Ha/atom; crystal system = cubic; mass density = 8.63 g/cm3
1.0
6.588 0.000 0.000
0.000 6.588 0.000
0.000 0.000 6.588
Pa Cd Si
4 4 4
Direct
0.000 0.000 0.000
0.000 0.500 0.500
0.500 0.000 0.500
0.500 0.500 0.000
0.000 0.000 0.500
0.000 0.500 0.000
0.500 0.000 0.000
0.500 0.500 0.500
0.250 0.250 0.750
0.250 0.750 0.250
0.750 0.250 0.250
0.750 0.750 0.750



No. 4
SmPaCd, optimized geometry, DFT GGA-PBE; final energy = -0.1528 Ha/atom; crystal system = cubic; formation enthalpy at 0 K = 876 meV/atom; mass density = 9.38 g/cm3
1.0
7.046 0.000 0.000
0.000 7.046 0.000
0.000 0.000 7.046
Sm Pa Cd
4 4 4
Direct
0.000 0.000 0.000
0.000 0.500 0.500
0.500 0.000 0.500
0.500 0.500 0.000
0.250 0.250 0.250
0.250 0.750 0.750
0.750 0.250 0.750
0.750 0.750 0.250
0.250 0.250 0.750
0.250 0.750 0.250
0.750 0.250 0.250
0.750 0.750 0.750



No. 5
PaCdSn2, optimized geometry, DFT GGA-PBE; final energy = -0.1781 Ha/atom; crystal system = tetragonal; mass density = 9.77 g/cm3
1.0
4.766 0.000 0.000
0.000 4.766 0.000
0.000 0.000 4.347
Pa Cd Sn
1 1 2
Direct
0.000 0.000 0.000
0.500 0.500 0.000
0.000 0.500 0.500
0.500 0.000 0.500



No. 6
PaCdSn, optimized geometry, DFT GGA-PBE; final energy = -0.1620 Ha/atom; crystal system = cubic; mass density = 8.23 g/cm3
1.0
7.199 0.000 0.000
0.000 7.199 0.000
0.000 0.000 7.199
Pa Cd Sn
4 4 4
Direct
0.000 0.000 0.000
0.000 0.500 0.500
0.500 0.000 0.500
0.500 0.500 0.000
0.250 0.250 0.750
0.250 0.750 0.250
0.750 0.250 0.250
0.750 0.750 0.750
0.250 0.250 0.250
0.250 0.750 0.750
0.750 0.250 0.750
0.750 0.750 0.250



No. 7
PaCdSn, optimized geometry, DFT GGA-PBE; final energy = -0.1633 Ha/atom; crystal system = cubic; mass density = 9.16 g/cm3
1.0
6.946 0.000 0.000
0.000 6.946 0.000
0.000 0.000 6.946
Pa Cd Sn
4 4 4
Direct
0.000 0.000 0.000
0.000 0.500 0.500
0.500 0.000 0.500
0.500 0.500 0.000
0.250 0.250 0.250
0.250 0.750 0.750
0.750 0.250 0.750
0.750 0.750 0.250
0.000 0.000 0.500
0.000 0.500 0.000
0.500 0.000 0.000
0.500 0.500 0.500



No. 8
SrPaCd, optimized geometry, DFT GGA-PBE; final energy = -0.1180 Ha/atom; crystal system = cubic; mass density = 6.81 g/cm3
1.0
7.492 0.000 0.000
0.000 7.492 0.000
0.000 0.000 7.492
Sr Pa Cd
4 4 4
Direct
0.000 0.000 0.000
0.000 0.500 0.500
0.500 0.000 0.500
0.500 0.500 0.000
0.000 0.000 0.500
0.000 0.500 0.000
0.500 0.000 0.000
0.500 0.500 0.500
0.250 0.250 0.750
0.250 0.750 0.250
0.750 0.250 0.250
0.750 0.750 0.750



No. 9
TbPaCd, optimized geometry, DFT GGA-PBE; final energy = -0.1511 Ha/atom; crystal system = cubic; formation enthalpy at 0 K = 895 meV/atom; mass density = 9.57 g/cm3
1.0
7.039 0.000 0.000
0.000 7.039 0.000
0.000 0.000 7.039
Tb Pa Cd
4 4 4
Direct
0.000 0.000 0.000
0.000 0.500 0.500
0.500 0.000 0.500
0.500 0.500 0.000
0.250 0.250 0.750
0.250 0.750 0.250
0.750 0.250 0.250
0.750 0.750 0.750
0.250 0.250 0.250
0.250 0.750 0.750
0.750 0.250 0.750
0.750 0.750 0.250



No. 10
PaCdTc, optimized geometry, DFT GGA-PBE; final energy = -0.2194 Ha/atom; crystal system = cubic; formation enthalpy at 0 K = 946 meV/atom; mass density = 9.91 g/cm3
1.0
6.665 0.000 0.000
0.000 6.665 0.000
0.000 0.000 6.665
Pa Cd Tc
4 4 4
Direct
0.000 0.000 0.000
0.000 0.500 0.500
0.500 0.000 0.500
0.500 0.500 0.000
0.250 0.250 0.750
0.250 0.750 0.250
0.750 0.250 0.250
0.750 0.750 0.750
0.250 0.250 0.250
0.250 0.750 0.750
0.750 0.250 0.750
0.750 0.750 0.250